(1)
V2H2Ru after structural relaxation. Source: Alexandria, functional GGA-PBE.

Geometry as POSCAR:
```
V2H2Ru
1.0
-1.410 1.410 5.794
1.410 -1.410 5.794
1.410 1.410 -5.794
V H Ru
2 2 1
Direct
0.147 0.147 0.000
0.853 0.853 0.000
0.250 0.750 0.500
0.750 0.250 0.500
0.500 0.500 0.000
```

Energy above the lowest structure with this stoichiometry   0.0000 eV per atom
Energy   -7.054 eV per atom

***

(2)
VHRu after structural relaxation. Source: Alexandria, functional GGA-PBE.

Geometry as POSCAR:
```
VHRu
1.0
2.779 0.000 0.000
0.000 2.798 0.000
0.000 0.000 3.768
V H Ru
1 1 1
Direct
0.000 0.000 0.000
0.500 0.500 0.000
0.500 0.500 0.500
```

Energy above the lowest structure with this stoichiometry   0.0085 eV per atom
Energy   -7.414 eV per atom

***

(3)
V2HRu6 after structural relaxation. Source: Alexandria, functional GGA-PBE.

Geometry as POSCAR:
```
V2HRu6
1.0
3.577 -5.604 0.000
3.577 5.604 0.000
0.000 0.000 5.632
V H Ru
4 2 12
Direct
0.144 0.856 0.000
0.144 0.856 0.500
0.856 0.144 0.000
0.856 0.144 0.500
0.496 0.504 0.750
0.504 0.496 0.250
0.001 0.500 0.750
0.206 0.206 0.250
0.206 0.206 0.750
0.376 0.624 0.004
0.376 0.624 0.496
0.500 0.001 0.250
0.500 0.999 0.750
0.624 0.376 0.504
0.624 0.376 0.996
0.794 0.794 0.250
0.794 0.794 0.750
0.999 0.500 0.250
```

Energy   -8.628 eV per atom

***

(4)
VH2Ru after structural relaxation. Source: Alexandria, functional GGA-PBE.

Geometry as POSCAR:
```
VH2Ru
1.0
0.000 2.562 2.562
2.562 0.000 2.562
2.562 2.562 0.000
V H Ru
1 2 1
Direct
0.000 0.000 0.000
0.250 0.250 0.250
0.750 0.750 0.750
0.500 0.500 0.500
```

Energy above the lowest structure with this stoichiometry   0.6280 eV per atom
Energy   -5.818 eV per atom

***

(5)
VH2Ru after structural relaxation. Source: Alexandria, functional GGA-PBE.

Geometry as POSCAR:
```
VH2Ru
1.0
2.800 0.000 0.000
0.000 4.545 0.000
0.000 0.000 4.854
V H Ru
2 4 2
Direct
0.250 0.250 0.093
0.750 0.750 0.907
0.250 0.000 0.776
0.250 0.500 0.776
0.750 0.000 0.224
0.750 0.500 0.224
0.250 0.750 0.420
0.750 0.250 0.580
```

Energy above the lowest structure with this stoichiometry   0.0000 eV per atom
Energy   -6.446 eV per atom

***

(6)
VHRuW2 after structural relaxation. Source: Alexandria, functional GGA-PBE.

Geometry as POSCAR:
```
VHRuW2
1.0
4.013 0.000 0.000
0.000 4.013 0.000
0.000 0.000 3.859
V H Ru W
1 1 1 2
Direct
0.000 0.000 0.000
0.000 0.000 0.500
0.500 0.500 0.000
0.000 0.500 0.500
0.500 0.000 0.500
```

Energy   -9.390 eV per atom

***

Q: Which of these has the lowest energy?
A: VHRuW2

***

Q: Look up the energy of the third one.
A: -8.628 eV per atom

***

What did the fourth record say?
VH2Ru after structural relaxation. Source: Alexandria, functional GGA-PBE.

Geometry as POSCAR:
```
VH2Ru
1.0
0.000 2.562 2.562
2.562 0.000 2.562
2.562 2.562 0.000
V H Ru
1 2 1
Direct
0.000 0.000 0.000
0.250 0.250 0.250
0.750 0.750 0.750
0.500 0.500 0.500
```

Energy above the lowest structure with this stoichiometry   0.6280 eV per atom
Energy   -5.818 eV per atom